28
Lattice="8.697 0.000 0.000 -4.349 7.532 0.000 0.000 0.000 8.352" Properties=species:S:1:pos:R:3 comment="Zr9NiMo4 (GGA-PBEsol, relaxed)" e_form_ev_per_fu=-1.878 pbc="T T T"
Zr -1.619 4.086 2.088
Zr 0.000 3.005 4.646
Zr 0.000 3.005 7.881
Zr -1.746 6.029 4.646
Zr -1.746 6.029 7.881
Zr 2.603 1.503 0.470
Zr 2.603 1.503 3.706
Zr 1.619 4.086 2.088
Zr 0.000 6.891 2.088
Zr 4.349 0.641 6.264
Zr 2.729 3.446 6.264
Zr 1.746 6.029 4.646
Zr 1.746 6.029 7.881
Zr 6.095 1.503 0.470
Zr 6.095 1.503 3.706
Zr 4.349 4.527 0.470
Zr 4.349 4.527 3.706
Zr 5.968 3.446 6.264
Ni 0.000 5.021 6.264
Ni 4.349 2.511 2.088
Mo 0.000 0.000 0.000
Mo 0.000 0.000 4.176
Mo 0.000 1.660 2.088
Mo -2.911 6.702 2.088
Mo 1.438 0.830 6.264
Mo 2.911 6.702 2.088
Mo 7.259 0.830 6.264
Mo 4.349 5.872 6.264

---

8
Lattice="3.469 0.000 0.000 0.000 4.086 0.000 0.000 0.000 8.627" Properties=species:S:1:pos:R:3 comment="ZrNiMo2 (GGA-PBEsol, relaxed)" e_form_ev_per_fu=0.469 pbc="T T T"
Zr 0.000 0.000 0.000
Zr 1.735 2.043 0.000
Ni 0.000 0.000 4.313
Ni 1.735 2.043 4.313
Mo 0.000 2.043 2.454
Mo 0.000 2.043 6.173
Mo 1.735 0.000 2.454
Mo 1.735 0.000 6.173

---

4
Lattice="2.715 0.000 0.000 0.000 3.566 0.000 0.000 0.000 6.459" Properties=species:S:1:pos:R:3 comment="ZrNiMo2 (GGA-PBEsol, relaxed)" e_form_ev_per_fu=0.921 pbc="T T T"
Zr 0.000 0.000 0.000
Ni 0.000 0.000 3.229
Mo 1.357 1.783 1.930
Mo 1.357 1.783 4.528